(1)
Here is a relaxed Hf2BeF crystal from the Alexandria database. Energies are from GGA-PBE.

a = 4.8239 Å, b = 4.8239 Å, c = 6.9383 Å
α = 69.66°, β = 69.66°, γ = 90.00°
With the nearest neighbours (Å) after each atom.
Fractional positions:
Be1 0.5000 0.5000 0.0000  4 Hf 2.33
Be2 0.2500 0.7500 0.5000  4 Hf 2.33
Hf1 0.6429 0.1250 0.2500  2 F 2.23, 2 Be 2.33
Hf2 0.1071 0.6250 0.2500  2 F 2.23, 2 Be 2.33
Hf3 0.3750 0.3571 0.7500  2 F 2.23, 2 Be 2.33
Hf4 0.8750 0.8929 0.7500  2 F 2.23, 2 Be 2.33
F1 0.0000 0.0000 0.0000  4 Hf 2.23
F2 0.7500 0.2500 0.5000  4 Hf 2.23

total magnetization	0.00	μB/f.u.
formation energy (no corrections)	-0.271	eV/atom
relative energy among the computed polymorphs	193	meV per atom

=====

(2)
Here is a relaxed Dy3Ho2 crystal from the Alexandria database. Energies are from GGA-PBE.

a = 4.9879 Å, b = 6.1050 Å, c = 6.1096 Å
α = 80.38°, β = 65.91°, γ = 65.89°
With the nearest neighbours (Å) after each atom.
Fractional positions:
Dy1 0.7998 0.2999 0.1005  6 Ho 3.52-3.53, 6 Dy 3.53
Dy2 0.0000 0.5000 0.5000  6 Ho 3.52-3.53, 6 Dy 3.53
Dy3 0.2002 0.7001 0.8995  6 Ho 3.52-3.53, 6 Dy 3.53
Ho1 0.4000 0.9002 0.2998  9 Dy 3.52-3.53, 3 Ho 3.52-3.53
Ho2 0.6000 0.0998 0.7002  9 Dy 3.52-3.53, 3 Ho 3.52-3.53

total magnetization	0.00	μB/f.u.
relative energy among the computed polymorphs	0	meV per atom

=====

(3)
Here is a relaxed AlZnCd2Ag crystal from the Alexandria database. Energies are from GGA-PBE.

a = 5.2006 Å, b = 4.7879 Å, c = 5.2006 Å
α = 90.00°, β = 90.00°, γ = 90.00°
With the nearest neighbours (Å) after each atom.
Fractional positions:
Zn1 0.0000 0.5000 0.0000  2 Al 2.39
Al1 0.0000 0.0000 0.0000  2 Zn 2.39, 4 Cd 2.60
Ag1 0.5000 0.5000 0.5000  8 Cd 3.53, 4 Zn 3.68
Cd1 0.0000 0.0000 0.5000  2 Al 2.60
Cd2 0.5000 0.0000 0.0000  2 Al 2.60

raw total energy	-1.459	eV per atom
total magnetization	0.00	μB/f.u.

=====

(4)
Here is a relaxed AlPt2Rh6 crystal from the Alexandria database. Energies are from GGA-PBE.

a = 4.7059 Å, b = 4.7058 Å, c = 13.9234 Å
α = 106.82°, β = 106.82°, γ = 98.49°
With the nearest neighbours (Å) after each atom.
Fractional positions:
Al1 0.8562 0.1438 0.2500  4 Pt 2.52-2.81, 4 Rh 2.68-2.81
Al2 0.1438 0.8562 0.7500  4 Pt 2.52-2.81, 4 Rh 2.68-2.81
Pt1 0.4213 0.4065 0.3214  2 Al 2.52-2.81, 1 Pt 2.64, 7 Rh 2.65-2.78
Pt2 0.5935 0.5787 0.1786  2 Al 2.52-2.81, 1 Pt 2.64, 7 Rh 2.65-2.78
Pt3 0.5787 0.5935 0.6786  2 Al 2.52-2.81, 1 Pt 2.64, 7 Rh 2.65-2.78
Pt4 0.4065 0.4213 0.8214  2 Al 2.52-2.81, 1 Pt 2.64, 7 Rh 2.65-2.78
Rh1 0.1942 0.3427 0.4705  9 Rh 2.65-2.80, 2 Pt 2.66-2.72, 1 Al 2.81
Rh2 0.6573 0.8058 0.0295  9 Rh 2.65-2.80, 2 Pt 2.66-2.72, 1 Al 2.81
Rh3 0.8058 0.6573 0.5295  9 Rh 2.65-2.80, 2 Pt 2.66-2.72, 1 Al 2.81
Rh4 0.3427 0.1942 0.9705  9 Rh 2.65-2.80, 2 Pt 2.66-2.72, 1 Al 2.81
Rh5 0.0315 0.6071 0.9216  2 Pt 2.65-2.74, 8 Rh 2.66-2.76
Rh6 0.3929 0.9685 0.5784  2 Pt 2.65-2.74, 8 Rh 2.66-2.76
Rh7 0.9685 0.3929 0.0784  2 Pt 2.65-2.74, 8 Rh 2.66-2.76
Rh8 0.6071 0.0315 0.4216  2 Pt 2.65-2.74, 8 Rh 2.66-2.76
Rh9 0.2613 0.9831 0.1282  6 Rh 2.65-2.75, 3 Pt 2.66-2.78, 2 Al 2.68-2.94
Rh10 0.0168 0.7387 0.3718  6 Rh 2.65-2.75, 3 Pt 2.66-2.78, 2 Al 2.68-2.94
Rh11 0.7387 0.0169 0.8718  6 Rh 2.65-2.75, 3 Pt 2.66-2.78, 2 Al 2.68-2.94
Rh12 0.9832 0.2613 0.6282  6 Rh 2.65-2.75, 3 Pt 2.66-2.78, 2 Al 2.68-2.94

raw total energy	-6.752	eV per atom
total magnetization	0.00	μB/f.u.

=====

(5)
Here is a relaxed Na6AgPb crystal from the Alexandria database. Energies are from GGA-PBE.

a = 5.6301 Å, b = 5.9126 Å, c = 6.8786 Å
α = 90.00°, β = 90.00°, γ = 90.00°
With the nearest neighbours (Å) after each atom.
Fractional positions:
Na1 0.5000 0.8195 0.2540  8 Na 3.25-3.62, 2 Pb 3.35-3.46, 2 Ag 3.39
Na2 0.0000 0.1776 0.7505  8 Na 3.23-3.61, 2 Ag 3.30-3.53, 2 Pb 3.39
Na3 0.0000 0.1776 0.2495  8 Na 3.23-3.61, 2 Ag 3.30-3.53, 2 Pb 3.39
Na4 0.5000 0.8195 0.7460  8 Na 3.25-3.62, 2 Pb 3.35-3.46, 2 Ag 3.39
Na5 0.0000 0.6406 0.5000  8 Na 3.23-3.61, 2 Pb 3.43, 2 Ag 3.46
Na6 0.5000 0.3558 0.0000  8 Na 3.25-3.62, 2 Pb 3.45, 2 Ag 3.47
Ag1 0.0000 0.7003 0.0000  12 Na 3.30-3.53
Pb1 0.5000 0.3090 0.5000  12 Na 3.35-3.46

total magnetization	0.00	μB/f.u.
relative energy among the computed polymorphs	0	meV per atom

=====

(6)
Here is a relaxed AlSnBiPt2 crystal from the Alexandria database. Energies are from GGA-PBE.

a = 5.1234 Å, b = 5.7816 Å, c = 5.1234 Å
α = 90.00°, β = 90.00°, γ = 90.00°
With the nearest neighbours (Å) after each atom.
Fractional positions:
Al1 0.5000 0.5000 0.5000  4 Sn 3.62, 8 Pt 3.86
Bi1 0.0000 0.0000 0.0000  4 Pt 2.56
Pt1 0.0000 0.0000 0.5000  2 Bi 2.56
Pt2 0.5000 0.0000 0.0000  2 Bi 2.56
Sn1 0.0000 0.5000 0.0000  2 Bi 2.89

raw total energy	-3.791	eV per atom
total magnetization	0.00	μB/f.u.

=====

What did the third record say?
Here is a relaxed AlZnCd2Ag crystal from the Alexandria database. Energies are from GGA-PBE.

a = 5.2006 Å, b = 4.7879 Å, c = 5.2006 Å
α = 90.00°, β = 90.00°, γ = 90.00°
With the nearest neighbours (Å) after each atom.
Fractional positions:
Zn1 0.0000 0.5000 0.0000  2 Al 2.39
Al1 0.0000 0.0000 0.0000  2 Zn 2.39, 4 Cd 2.60
Ag1 0.5000 0.5000 0.5000  8 Cd 3.53, 4 Zn 3.68
Cd1 0.0000 0.0000 0.5000  2 Al 2.60
Cd2 0.5000 0.0000 0.0000  2 Al 2.60

raw total energy	-1.459	eV per atom
total magnetization	0.00	μB/f.u.